(1)
The following is a PBE calculation of PrThHg2 after structural relaxation, from the Alexandria database.

Results
calculated formation energy	-0.304	eV per atom
symmetry	Fm-3m
distance to the lowest polymorph of the same formula	24	meV/atom
VASP energy	-3.5043	eV per atom

Geometry as POSCAR:
```
PrThHg2
1.0
0.000 3.841 3.841
3.841 0.000 3.841
3.841 3.841 0.000
Pr Th Hg
1 1 2
Direct
0.000 0.000 0.000
0.500 0.500 0.500
0.250 0.250 0.250
0.750 0.750 0.750
```

***

(2)
The following is a PBE calculation of PrThTlHg after structural relaxation, from the Alexandria database.

Results
calculated formation energy	-0.296	eV per atom
symmetry	P4mm
distance to the lowest polymorph of the same formula	0	meV/atom
VASP energy	-4.0132	eV per atom

Geometry as POSCAR:
```
PrThTlHg
1.0
3.594 0.000 0.000
0.000 3.594 0.000
0.000 0.000 8.917
Pr Th Tl Hg
1 1 1 1
Direct
0.000 0.000 0.000
0.000 0.000 0.488
0.500 0.500 0.746
0.500 0.500 0.244
```

***

(3)
The following is a PBE calculation of PrThTlHg after structural relaxation, from the Alexandria database.

Results
calculated formation energy	-0.262	eV per atom
symmetry	F-43m
distance to the lowest polymorph of the same formula	35	meV/atom
VASP energy	-3.9784	eV per atom

Geometry as POSCAR:
```
PrThTlHg
1.0
0.000 3.883 3.883
3.883 0.000 3.883
3.883 3.883 0.000
Pr Th Tl Hg
1 1 1 1
Direct
0.000 0.000 0.000
0.500 0.500 0.500
0.750 0.750 0.750
0.250 0.250 0.250
```

***

(4)
The following is a PBE calculation of PrTiHg after structural relaxation, from the Alexandria database.

Results
calculated formation energy	-0.088	eV per atom
symmetry	P4/nmm
VASP energy	-4.4133	eV per atom

Geometry as POSCAR:
```
PrTiHg
1.0
4.574 0.000 0.000
0.000 4.574 0.000
0.000 0.000 7.360
Pr Ti Hg
2 2 2
Direct
0.250 0.250 0.155
0.750 0.750 0.845
0.250 0.750 0.500
0.750 0.250 0.500
0.250 0.250 0.725
0.750 0.750 0.275
```

***

(5)
The following is a PBE calculation of Pr2Tl4Hg after structural relaxation, from the Alexandria database.

Results
calculated formation energy	-0.069	eV per atom
symmetry	C2/m
VASP energy	-2.8300	eV per atom

Geometry as POSCAR:
```
Pr2Tl4Hg
1.0
6.835 -2.891 0.000
6.835 2.891 0.000
-2.021 0.000 5.722
Pr Tl Hg
2 4 1
Direct
0.147 0.147 0.095
0.853 0.853 0.905
0.000 0.000 0.500
0.250 0.250 0.664
0.500 0.500 0.000
0.750 0.750 0.336
0.500 0.500 0.500
```

***

(6)
The following is a PBE calculation of Pr11Tl4Hg9 after structural relaxation, from the Alexandria database.

Results
calculated formation energy	-0.396	eV per atom
symmetry	Cmmm
VASP energy	-3.0942	eV per atom

Geometry as POSCAR:
```
Pr11Tl4Hg9
1.0
8.369 -11.037 0.000
8.369 11.037 0.000
0.000 0.000 3.793
Pr Tl Hg
11 4 9
Direct
0.000 0.000 0.000
0.063 0.406 0.000
0.184 0.816 0.000
0.224 0.224 0.000
0.362 0.638 0.000
0.406 0.063 0.000
0.594 0.937 0.000
0.638 0.362 0.000
0.776 0.776 0.000
0.816 0.184 0.000
0.937 0.594 0.000
0.270 0.430 0.500
0.430 0.270 0.500
0.570 0.730 0.500
0.730 0.570 0.500
0.016 0.199 0.500
0.149 0.612 0.500
0.199 0.016 0.500
0.388 0.851 0.500
0.500 0.500 0.500
0.612 0.149 0.500
0.801 0.984 0.500
0.851 0.388 0.500
0.984 0.801 0.500
```

***

Question: What is the calculated formation energy in the second record?
Answer: -0.296 eV per atom

***

Question: Among the records above, which one has the lowest calculated formation energy?
Answer: Pr11Tl4Hg9

***

Copy entry 4 word for word.
The following is a PBE calculation of PrTiHg after structural relaxation, from the Alexandria database.

Results
calculated formation energy	-0.088	eV per atom
symmetry	P4/nmm
VASP energy	-4.4133	eV per atom

Geometry as POSCAR:
```
PrTiHg
1.0
4.574 0.000 0.000
0.000 4.574 0.000
0.000 0.000 7.360
Pr Ti Hg
2 2 2
Direct
0.250 0.250 0.155
0.750 0.750 0.845
0.250 0.750 0.500
0.750 0.250 0.500
0.250 0.250 0.725
0.750 0.750 0.275
```